Entry 1:
Below is a relaxed structure of Ca3TlO, with properties calculated at the PBE level.

Cell: 7.2597 7.2597 22.7908 Å, 90.00 90.00 120.00°
Space group R-3c (No. 167, hexagonal axes)
One atom of each set of equivalent atoms:
Ca: 0.0000 0.2915 0.2500 (multiplicity 18)
Tl: 0.0000 0.0000 0.0000 (multiplicity 6)
O: 0.0000 0.0000 0.2500 (multiplicity 6)

Computed properties:
Energy relative to the elements, uncorrected: -1.1210 eV per atom

***

Entry 2:
Below is a relaxed structure of Ca3TlO, with properties calculated at the PBE level.

Cell: 3.5020 6.8554 16.0964 Å, 90.00 90.00 90.00°
Space group Amm2 (No. 38)
One atom of each set of equivalent atoms:
Ca: 0.0000 0.0000 0.0000 (multiplicity 2)
Ca: 0.5000 0.2306 0.8268 (multiplicity 4)
Tl: 0.5000 0.0000 0.1669 (multiplicity 2)
O: 0.0000 0.0000 0.8543 (multiplicity 2)

Computed properties:
Energy relative to the elements, uncorrected: -0.8794 eV per atom

***

Entry 3:
Below is a relaxed structure of CaTl2O4, with properties calculated at the PBE level.

Cell: 10.2576 3.3774 11.6466 Å, 90.00 90.00 90.00°
Space group Pnma (No. 62)
One atom of each set of equivalent atoms:
Ca: 0.2461 0.2500 0.1499 (multiplicity 4)
Tl: 0.0729 0.7500 0.8851 (multiplicity 4)
Tl: 0.0863 0.7500 0.3944 (multiplicity 4)
O: 0.0490 0.2500 0.2731 (multiplicity 4)
O: 0.0963 0.7500 0.0713 (multiplicity 4)
O: 0.1262 0.2500 0.5339 (multiplicity 4)
O: 0.2050 0.2500 0.8087 (multiplicity 4)

Computed properties:
Energy relative to the elements, uncorrected: -1.3229 eV per atom
Polymorph energy (0 for the lowest one): 0.0069 eV/atom